Run i
A PBEsol-optimized structure of KCuAu2. Source: Alexandria via LeMat-Bulk, functional SCAN.

Calculated values
- Magnetization: 0.00 μB per formula unit
- Space-group type: Fm-3m

Cell and atoms, written as POSCAR:
```
KCuAu2
1.0
4.7924 0.0000 0.0000
2.3962 4.1503 0.0000
2.3962 1.3834 3.9130
Au Cu K
2 1 1
Cartesian
2.3962 1.3834 0.9782
7.1886 4.1503 2.9347
0.0000 0.0000 0.0000
4.7924 2.7669 1.9565
```

---

Run ii
A PBEsol-optimized structure of KCuAu2. Source: Alexandria via LeMat-Bulk, functional SCAN.

Calculated values
- Magnetization: 0.00 μB per formula unit
- Space-group type: C2/m

Cell and atoms, written as POSCAR:
```
KCuAu2
1.0
-0.6757 0.2854 2.6919
-0.7381 -5.2182 0.3679
5.7512 1.8528 -0.1987
Au Cu K
2 1 1
Cartesian
2.9802 -0.3594 0.7862
1.3571 -2.7205 2.0750
-0.3691 -2.6091 0.1840
-0.3379 0.1427 1.3460
```

---

Verdict on stability: run ii comes out on top.

---

Run i
A PBEsol-optimized structure of LiCu2Au. Source: Alexandria via LeMat-Bulk, functional SCAN.

Calculated values
- Magnetization: 0.00 μB per formula unit
- Space-group type: I4/mmm

Cell and atoms, written as POSCAR:
```
LiCu2Au
1.0
3.6533 0.0000 0.0000
0.0000 3.6533 0.0000
-1.8267 -1.8267 3.8469
Au Cu Li
1 2 1
Cartesian
0.0000 0.0000 0.0000
1.8267 0.0000 1.9235
0.0000 1.8267 1.9235
1.8267 1.8267 0.0000
```

---

Run ii
A PBEsol-optimized structure of LiCu2Au. Source: Alexandria via LeMat-Bulk, functional SCAN.

Calculated values
- Magnetization: 0.00 μB per formula unit
- Space-group type: I-4m2

Cell and atoms, written as POSCAR:
```
LiCu2Au
1.0
3.7211 0.0000 0.0000
0.0000 3.7211 0.0000
-1.8606 -1.8606 3.7165
Au Cu Li
1 2 1
Cartesian
1.8606 0.0000 1.8582
1.8606 1.8606 0.0000
0.0000 1.8606 1.8582
0.0000 0.0000 0.0000
```

---

Verdict on stability: run i comes out on top.

---

Run i
A PBEsol-optimized structure of CuNiAu. Source: Alexandria via LeMat-Bulk, functional SCAN.

Calculated values
- Magnetization: 0.19 μB per formula unit
- Space-group type: Imm2

Cell and atoms, written as POSCAR:
```
CuNiAu
1.0
2.7117 0.0000 0.0000
0.0000 3.5216 0.0000
-1.3559 -1.7608 4.0450
Ni Au Cu
1 1 1
Cartesian
1.3559 1.7608 1.4143
0.0000 0.0000 0.0047
0.0000 0.0000 2.6260
```

---

Run ii
A PBEsol-optimized structure of CuNiAu. Source: Alexandria via LeMat-Bulk, functional SCAN.

Calculated values
- Magnetization: 0.19 μB per formula unit
- Space-group type: I4mm

Cell and atoms, written as POSCAR:
```
CuNiAu
1.0
-0.2725 -2.7435 -0.0789
2.4906 -0.2139 -1.1656
1.0130 1.1358 5.2193
Ni Au Cu
1 1 1
Cartesian
1.3689 -0.2212 2.9655
3.2264 -1.8209 3.9647
1.8669 -1.6012 1.0195
```

---

Run iii
A PBEsol-optimized structure of CuNiAu. Source: Alexandria via LeMat-Bulk, functional SCAN.

Calculated values
- Magnetization: 0.00 μB per formula unit
- Space-group type: F-43m

Cell and atoms, written as POSCAR:
```
CuNiAu
1.0
4.0583 0.0000 0.0000
2.0292 3.5146 0.0000
2.0292 1.1715 3.3136
Au Cu Ni
1 1 1
Cartesian
2.0292 1.1715 0.8284
0.0000 0.0000 0.0000
4.0583 2.3431 1.6568
```

---

Verdict on stability: run i comes out on top.

---

Run i
A PBEsol-optimized structure of CuOs2Au. Source: Alexandria via LeMat-Bulk, functional SCAN.

Calculated values
- Magnetization: 0.00 μB per formula unit
- Space-group type: P4/mmm

Cell and atoms, written as POSCAR:
```
CuOs2Au
1.0
-1.6810 -1.8230 -2.7764
-2.4208 -1.4582 2.4231
-2.4959 3.1823 -0.5784
Au Cu Os
1 1 2
Cartesian
-3.2988 -0.0494 -0.4659
-1.2479 1.5912 -0.2892
-1.2104 -0.7291 1.2115
-0.8405 -0.9115 -1.3882
```

---

Run ii
A PBEsol-optimized structure of CuOs2Au. Source: Alexandria via LeMat-Bulk, functional SCAN.

Calculated values
- Magnetization: 0.00 μB per formula unit
- Space-group type: Cm

Cell and atoms, written as POSCAR:
```
CuOs2Au
1.0
-2.0929 -1.1240 1.3451
3.0583 -3.3874 -0.8425
1.7923 1.5887 4.1164
Au Cu Os
1 1 2
Cartesian
-0.1966 0.1903 2.6235
0.4210 -2.1065 1.6651
2.6997 -2.9428 4.5118
2.4412 -0.7541 3.1682
```

---

Verdict on stability: run ii comes out on top.

---

Run i
A PBEsol-optimized structure of CuOs2Au. Source: Alexandria via LeMat-Bulk, functional SCAN.

Calculated values
- Magnetization: 0.00 μB per formula unit
- Space-group type: C2/m

Cell and atoms, written as POSCAR:
```
CuOs2Au
1.0
2.7209 0.0000 0.0000
0.0000 4.6491 -0.0074
-1.3604 -0.8310 4.4660
Au Cu Os
1 1 2
Cartesian
1.3604 0.0000 0.0000
0.0000 2.3246 -0.0037
0.0000 0.8066 2.2782
1.3604 3.0116 2.1804
```

---

Run ii
A PBEsol-optimized structure of CuOs2Au. Source: Alexandria via LeMat-Bulk, functional SCAN.

Calculated values
- Magnetization: 0.00 μB per formula unit
- Space-group type: I4/mmm

Cell and atoms, written as POSCAR:
```
CuOs2Au
1.0
-1.0033 -3.4738 -0.9915
3.2670 -0.4333 -1.7876
0.5204 0.5150 4.7580
Au Cu Os
1 1 2
Cartesian
1.1319 -1.9536 -1.3895
0.0000 0.0000 0.0000
0.3245 -2.4562 1.1885
2.4597 -0.9360 0.7905
```

---

Verdict on stability: run i comes out on top.

---

Run i
A PBEsol-optimized structure of CuOsAu2. Source: Alexandria via LeMat-Bulk, functional SCAN.

Calculated values
- Magnetization: 0.00 μB per formula unit
- Space-group type: P4/mmm

Cell and atoms, written as POSCAR:
```
CuOsAu2
1.0
2.6756 0.0000 0.0000
0.0000 4.7579 0.0000
0.0000 0.0000 4.7579
Au Cu Os
2 1 1
Cartesian
0.0000 0.0000 2.3790
0.0000 2.3790 0.0000
1.3378 2.3790 2.3790
1.3378 0.0000 0.0000
```

---

Run ii
A PBEsol-optimized structure of CuOsAu2. Source: Alexandria via LeMat-Bulk, functional SCAN.

Calculated values
- Magnetization: 0.00 μB per formula unit
- Space-group type: P4/mmm

Cell and atoms, written as POSCAR:
```
CuOsAu2
1.0
-1.1574 3.8000 0.5921
-2.9807 -0.5368 -2.3815
-2.1742 -1.1257 2.9749
Au Cu Os
2 1 1
Cartesian
-1.0871 -0.5629 1.4875
-1.4904 -0.2684 -1.1908
-3.1561 1.0687 0.5927
-0.5787 1.9000 0.2960
```

---

Run iii
A PBEsol-optimized structure of CuOsAu2. Source: Alexandria via LeMat-Bulk, functional SCAN.

Calculated values
- Magnetization: 0.00 μB per formula unit
- Space-group type: Pmmm

Cell and atoms, written as POSCAR:
```
CuOsAu2
1.0
2.6848 0.0000 0.0000
0.0000 4.7619 0.0000
0.0000 0.0000 4.7479
Au Cu Os
2 1 1
Cartesian
0.0000 0.0000 0.0000
1.3424 0.0000 2.3740
1.3424 2.3810 0.0000
0.0000 2.3810 2.3740
```

---

Verdict on stability: run i comes out on top.